DFT (PBE-GGA) results for a relaxed structure of CoSiAs2. Values from VASP.

E_form (uncorrected) in meV per atom: 447

```
&SYSTEM
  ibrav = 0, nat = 4, ntyp = 3
/
ATOMIC_SPECIES
As 74.92 As.upf
Si 28.09 Si.upf
Co 58.93 Co.upf
CELL_PARAMETERS angstrom
-3.245 -1.695 -2.785
-2.215 -1.738 3.637
-1.484 2.423 0.254
ATOMIC_POSITIONS crystal
As 0.500 0.500 0.000
As 0.000 0.000 0.000
Si 0.000 0.500 0.500
Co 0.500 0.000 0.500
```



DFT (PBE-GGA) results for a relaxed structure of TmPaAgPd. Values from VASP.

Energy relative to the elements in meV/atom: -218

```
&SYSTEM
  ibrav = 0, nat = 4, ntyp = 4
/
ATOMIC_SPECIES
Pa 231.04 Pa.upf
Ag 107.87 Ag.upf
Pd 106.42 Pd.upf
Tm 168.93 Tm.upf
CELL_PARAMETERS angstrom
5.031 0.000 0.000
2.515 4.357 0.000
2.515 1.452 4.108
ATOMIC_POSITIONS crystal
Pa 0.000 0.000 0.000
Ag 0.250 0.250 0.250
Pd 0.750 0.750 0.750
Tm 0.500 0.500 0.500
```



DFT (PBE-GGA) results for a relaxed structure of KCr2Fe. Values from VASP.

Energy relative to the elements in meV/atom: 1692

```
&SYSTEM
  ibrav = 0, nat = 4, ntyp = 3
/
ATOMIC_SPECIES
Cr 52.00 Cr.upf
Fe 55.84 Fe.upf
K 39.10 K.upf
CELL_PARAMETERS angstrom
4.200 0.000 0.000
0.000 4.544 0.000
0.000 0.000 4.544
ATOMIC_POSITIONS crystal
Cr 0.000 0.500 0.500
Cr 0.000 0.000 0.000
Fe 0.500 0.500 0.000
K 0.500 0.000 0.500
```



For reference, size of the total moment by record: 0.28, 0.93, 12.13 μB per cell.
For reference, DFT total energy by record: -20.0, -22.9, -22.0 eV for the cell shown.